# 1
Material: Dy12Tm6Zr
Method: DFT, PBE-GGA
State: optimized geometry

a b c (Å): 9.265 9.265 9.265
angles (deg): 110.91 110.91 110.91
Atoms (fractional coordinates):
Tm (0.534, 0.792, 0.689)
Dy (0.581, 0.371, 0.054)
Dy (0.156, 0.742, 0.103)
Dy (0.371, 0.054, 0.581)
Dy (0.946, 0.419, 0.629)
Tm (0.311, 0.466, 0.208)
Dy (0.054, 0.581, 0.371)
Dy (0.103, 0.156, 0.742)
Dy (0.629, 0.946, 0.419)
Tm (0.792, 0.689, 0.534)
Dy (0.742, 0.103, 0.156)
Tm (0.208, 0.311, 0.466)
Tm (0.466, 0.208, 0.311)
Dy (0.897, 0.844, 0.258)
Zr (0.000, 0.000, 0.000)
Dy (0.258, 0.897, 0.844)
Dy (0.844, 0.258, 0.897)
Tm (0.689, 0.534, 0.792)
Dy (0.419, 0.629, 0.946)

Values from the calculation:
- Energy of formation: 0.033 eV/atom


# 2
Material: ZnSF6
Method: DFT, PBE-GGA
State: optimized geometry

a b c (Å): 4.966 4.993 5.068
angles (deg): 60.49 83.19 76.07
Atoms (fractional coordinates):
F (0.728, 0.742, 0.000)
F (0.736, 0.133, 0.284)
Zn (0.000, 0.000, 0.000)
F (0.264, 0.867, 0.716)
F (0.272, 0.258, 0.000)
F (0.264, 0.583, 0.284)
F (0.736, 0.417, 0.716)
S (0.500, 0.500, 0.000)

Values from the calculation:
- Uncorrected formation energy: -1630 meV/atom


# 3
Material: Rb2Ag2As
Method: DFT, PBE-GGA
State: optimized geometry

a b c (Å): 7.277 7.277 5.644
angles (deg): 90.00 90.00 90.00
Atoms (fractional coordinates):
Ag (0.140, 0.360, 0.000)
Ag (0.360, 0.860, 0.000)
Ag (0.860, 0.640, 0.000)
Rb (0.184, 0.684, 0.500)
As (0.000, 0.000, 0.000)
Rb (0.816, 0.316, 0.500)
As (0.500, 0.500, 0.000)
Rb (0.684, 0.816, 0.500)
Ag (0.640, 0.140, 0.000)
Rb (0.316, 0.184, 0.500)

Values from the calculation:
- Energy above the lowest structure with this stoichiometry: 0.0 meV per atom
- Energy of formation: -0.014 eV/atom


# 4
Material: Tb7Er2Sc
Method: DFT, PBE-GGA
State: optimized geometry

a b c (Å): 5.077 9.608 9.608
angles (deg): 126.08 90.00 90.00
Atoms (fractional coordinates):
Tb (0.000, 0.807, 0.193)
Er (0.500, 0.702, 0.298)
Sc (0.000, 0.000, 0.000)
Tb (0.500, 0.500, 0.500)
Tb (0.500, 0.716, 0.926)
Tb (0.500, 0.074, 0.284)
Tb (0.500, 0.284, 0.074)
Tb (0.500, 0.926, 0.716)
Tb (0.000, 0.193, 0.807)
Er (0.500, 0.298, 0.702)

Values from the calculation:
- Energy of formation: 0.696 eV/atom


# 5
Material: Zn2AgTe
Method: DFT, PBE-GGA
State: optimized geometry

a b c (Å): 5.244 5.244 5.244
angles (deg): 135.14 124.10 74.37
Atoms (fractional coordinates):
Ag (0.517, 0.517, 0.000)
Zn (0.767, 0.267, 0.500)
Zn (0.982, 0.982, 0.000)
Te (0.234, 0.734, 0.500)

Values from the calculation:
- Energy above the lowest structure with this stoichiometry: 165.1 meV per atom
- Uncorrected formation energy: 162 meV/atom


# 6
Material: OsRhCl
Method: DFT, PBE-GGA
State: optimized geometry

a b c (Å): 6.186 6.186 6.186
angles (deg): 153.03 153.03 38.51
Atoms (fractional coordinates):
Os (0.325, 0.325, 0.000)
Cl (0.984, 0.984, 0.000)
Rh (0.690, 0.690, 0.000)

Values from the calculation:
- Energy above the lowest structure with this stoichiometry: 157.3 meV per atom
- Uncorrected formation energy: 673 meV/atom


# 7
Material: MnGeH3
Method: DFT, PBE-GGA
State: optimized geometry

a b c (Å): 3.466 3.466 3.466
angles (deg): 90.00 90.00 90.00
Each line ends with the local moment (μB).
Atoms (fractional coordinates):
H (0.000, 0.500, 0.000)  -0.02
Mn (0.000, 0.000, 0.000)  2.46
H (0.500, 0.000, 0.000)  0.00
H (0.000, 0.000, 0.500)  -0.03
Ge (0.500, 0.500, 0.500)  -0.06

Values from the calculation:
- Total DFT energy (no corrections): -4.427 eV/atom


# 8
Material: RbNa4Pb4
Method: DFT, PBE-GGA
State: optimized geometry

a b c (Å): 4.928 10.954 10.954
angles (deg): 90.00 90.00 90.00
Atoms (fractional coordinates):
Rb (0.000, 0.000, 0.000)
Na (0.000, 0.000, 0.327)
Na (0.000, 0.000, 0.673)
Pb (0.000, 0.684, 0.684)
Na (0.000, 0.673, 0.000)
Pb (0.500, 0.816, 0.184)
Pb (0.500, 0.184, 0.184)
Pb (0.000, 0.316, 0.684)
Na (0.500, 0.827, 0.500)
Rb (0.500, 0.500, 0.500)
Na (0.500, 0.173, 0.500)
Na (0.500, 0.500, 0.827)
Pb (0.000, 0.684, 0.316)
Pb (0.000, 0.316, 0.316)
Pb (0.500, 0.816, 0.816)
Pb (0.500, 0.184, 0.816)
Na (0.500, 0.500, 0.173)
Na (0.000, 0.327, 0.000)

Values from the calculation:
- Energy of formation: -0.129 eV/atom


# 9
Material: ScAl
Method: DFT, PBE-GGA
State: optimized geometry

a b c (Å): 3.207 3.207 9.416
angles (deg): 90.00 90.00 120.00
Each line ends with the local moment (μB).
Atoms (fractional coordinates):
Al (0.333, 0.667, 0.250)  0.00
Al (0.667, 0.333, 0.750)  0.00
Sc (0.000, 0.000, 0.500)  0.16
Sc (0.000, 0.000, 0.000)  0.16

Values from the calculation:
- Energy of formation: -0.188 eV/atom